An optimized crystal structure of Si2SnSbO, computed with GGA-PBE.

a = 5.167 Å, b = 5.167 Å, c = 5.702 Å
α = 90.00°, β = 90.00°, γ = 90.00°
Space group P4/mmm (No. 123)
Asymmetric unit:
Si 0.000 0.500 0.000 [2 per cell]
Sn 0.000 0.000 0.000 [1 per cell]
Sb 0.000 0.000 0.500 [1 per cell]
O 0.500 0.500 0.500 [1 per cell]

Output
The volume comes out at 152.24 Å³/cell. As for the total magnetization: 1.51 μB per cell. As for the density of states at the Fermi level: 4.6 states/eV/cell. For the uncorrected formation energy, the calculation gives 1.54 eV/atom.

=====

An optimized crystal structure of Mg2ScZnIr, computed with GGA-PBE.

a = 4.640 Å, b = 4.640 Å, c = 4.763 Å
α = 90.00°, β = 90.00°, γ = 90.00°
Space group P4/mmm (No. 123)
Asymmetric unit:
Mg 0.000 0.500 0.000 [2 per cell]
Sc 0.000 0.000 0.500 [1 per cell]
Zn 0.500 0.500 0.000 [1 per cell]
Ir 0.500 0.500 0.500 [1 per cell]

Output
The calculation puts the formation energy from the elements at 1.31 eV/f.u. The volume comes out at 102.54 Å³/cell. As for the total magnetization: 0.00 μB per cell. As for the density of states at the Fermi level: 3.3 states/eV/cell.